(1)
Below is a relaxed structure of Tl2BrF2, with properties calculated at the GGA-PBE level.

## Properties
Raw formation energy ... -1364 meV/atom
Magnetization ... 0.00 μB per formula unit
Energy ... -33.94 eV/cell

```
data_Tl2BrF2
_chemical_formula_sum 'Tl4 Br2 F4'
_cell_length_a 4.125
_cell_length_b 4.125
_cell_length_c 13.628
_cell_angle_alpha 90.00
_cell_angle_beta 90.00
_cell_angle_gamma 90.00
_symmetry_space_group_name_H-M 'I 4/m m m'
_symmetry_Int_Tables_number 139
_symmetry_space_group_name_Hall '-I 4 2'
loop_
_atom_site_label
_atom_site_fract_x
_atom_site_fract_y
_atom_site_fract_z
_atom_site_occupancy
Tl1 0.000 0.000 0.141 1
Br1 0.000 0.000 0.500 1
F1 0.000 0.500 0.250 1
```

---

(2)
Below is a relaxed structure of AgIO2F, with properties calculated at the GGA-PBE level.

## Properties
Raw formation energy ... -199 meV/atom
Magnetization ... 0.00 μB per formula unit
Energy ... -17.19 eV/cell

```
data_AgIO2F
_chemical_formula_sum 'Ag1 I1 O2 F1'
_cell_length_a 4.042
_cell_length_b 4.042
_cell_length_c 5.350
_cell_angle_alpha 90.00
_cell_angle_beta 90.00
_cell_angle_gamma 90.00
_symmetry_space_group_name_H-M 'P 4/m m m'
_symmetry_Int_Tables_number 123
_symmetry_space_group_name_Hall '-P 4 2'
loop_
_atom_site_label
_atom_site_fract_x
_atom_site_fract_y
_atom_site_fract_z
_atom_site_occupancy
Ag1 0.000 0.000 0.000 1
I1 0.500 0.500 0.500 1
O1 0.000 0.500 0.500 1
F1 0.500 0.500 0.000 1
```

---

(3)
Below is a relaxed structure of CoHgTe2, with properties calculated at the GGA-PBE level.

## Properties
Raw formation energy ... -39 meV/atom
Magnetization ... 0.00 μB per formula unit
Energy ... -13.85 eV/cell

```
data_CoHgTe2
_chemical_formula_sum 'Co1 Hg1 Te2'
_cell_length_a 5.247
_cell_length_b 3.817
_cell_length_c 5.693
_cell_angle_alpha 90.00
_cell_angle_beta 116.97
_cell_angle_gamma 90.00
_symmetry_space_group_name_H-M 'P 1 2/m 1'
_symmetry_Int_Tables_number 10
loop_
_symmetry_equiv_pos_as_xyz
'x,y,z'
'-x,-y,-z'
'-x,y,-z'
'x,-y,z'
loop_
_atom_site_label
_atom_site_fract_x
_atom_site_fract_y
_atom_site_fract_z
_atom_site_occupancy
Co1 0.000 0.000 0.000 1
Hg1 0.500 0.000 0.000 1
Te1 0.161 0.500 0.323 1
```

---

(4)
Below is a relaxed structure of La7Dy2Mg2, with properties calculated at the GGA-PBE level.

## Properties
E_form ... 104 meV per atom
Magnetization ... 0.00 μB per formula unit
Energy ... -91.48 eV/cell

```
data_La7Dy2Mg2
_chemical_formula_sum 'La14 Dy4 Mg4'
_cell_length_a 12.063
_cell_length_b 11.147
_cell_length_c 5.977
_cell_angle_alpha 90.00
_cell_angle_beta 111.80
_cell_angle_gamma 90.00
_symmetry_space_group_name_H-M 'C 1 2/m 1'
_symmetry_Int_Tables_number 12
loop_
_symmetry_equiv_pos_as_xyz
'x,y,z'
'-x,-y,-z'
'-x,y,-z'
'x,-y,z'
'x+1/2,y+1/2,z'
'-x+1/2,-y+1/2,-z'
'-x+1/2,y+1/2,-z'
'x+1/2,-y+1/2,z'
loop_
_atom_site_label
_atom_site_fract_x
_atom_site_fract_y
_atom_site_fract_z
_atom_site_occupancy
La1 0.000 0.000 0.000 1
La2 0.195 0.209 0.193 1
La3 0.235 0.000 0.659 1
Dy1 0.000 0.222 0.500 1
Mg1 0.058 0.500 0.779 1
```